Below is a relaxed structure of Er5AgPt4, with properties calculated at the PBE level.

Summary:
E_form in eV/atom: -1.083
Final energy in eV/atom: -6.066
Density of states at the Fermi level in states/eV per atom: 0.60
Crystal system: tetragonal
Calculated density in kg/m3: 13451

Lattice parameters (Å, degrees): 3.494 3.494 17.435 90.00 90.00 90.00
Space group P4/mmm (No. 123)
Asymmetric unit:
Er (0.000, 0.000, 0.000) x1
Er (0.000, 0.000, 0.196) x2
Er (0.000, 0.000, 0.391) x2
Ag (0.500, 0.500, 0.500) x1
Pt (0.500, 0.500, 0.098) x2
Pt (0.500, 0.500, 0.297) x2